(1)
Below is a relaxed structure of Rb2BeNiP, with properties calculated at the PBE-GGA level.

The structure in extended XYZ format:
```
5
Lattice="-3.463 4.195 3.510 -0.373 -2.826 3.009 5.438 2.198 2.739" Properties=species:S:1:pos:R:3 pbc="T T T"
Ni 0.000 0.000 0.000
Be 0.801 1.784 4.629
Rb 2.719 1.099 1.369
Rb -1.732 2.098 1.755
P -0.187 -1.413 1.505
```

Properties
symmetry: P4/mmm, No. 123
density: 2577 kg/m³
calculated formation energy: 0.454 eV/atom

(2)
Below is a relaxed structure of Pm2AlFe, with properties calculated at the PBE-GGA level.

The structure in extended XYZ format:
```
4
Lattice="-2.937 -1.225 1.688 -1.388 -1.027 -3.161 3.134 -6.502 0.736" Properties=species:S:1:pos:R:3 pbc="T T T"
Al -0.596 -4.377 -0.369
Fe -2.163 -1.126 -0.737
Pm 2.409 -4.998 0.566
Pm 0.725 -1.504 0.170
```

Properties
symmetry: P4/mmm, No. 123
density: 6576 kg/m³
calculated formation energy: -0.024 eV/atom

(3)
Below is a relaxed structure of BOs2Pb, with properties calculated at the PBE-GGA level.

The structure in extended XYZ format:
```
4
Lattice="0.256 -1.417 4.139 -3.547 -1.652 1.974 -0.228 -4.290 0.866" Properties=species:S:1:pos:R:3 pbc="T T T"
Pb -1.759 -3.680 3.489
B 0.000 0.000 0.000
Os -0.880 -1.840 1.745
Os -2.639 -5.519 5.234
```

Properties
symmetry: Fm-3m, No. 225
density: 16696 kg/m³
calculated formation energy: 1.399 eV/atom
distance to the lowest polymorph of the same formula: 506 meV per atom

(4)
Below is a relaxed structure of Sr2GeAs3Ir4, with properties calculated at the PBE-GGA level.

The structure in extended XYZ format:
```
10
Lattice="4.308 0.000 0.000 0.000 4.308 0.000 0.000 0.000 10.320" Properties=species:S:1:pos:R:3 pbc="T T T"
Sr 2.154 0.000 2.640
Sr 0.000 2.154 7.680
Ge 2.154 2.154 5.160
As 0.000 0.000 5.160
As 2.154 0.000 8.926
As 0.000 2.154 1.394
Ir 2.154 2.154 0.000
Ir 0.000 0.000 0.000
Ir 2.154 0.000 6.427
Ir 0.000 2.154 3.893
```

Properties
symmetry: P-4m2, No. 115
density: 10764 kg/m³
calculated formation energy: -0.584 eV/atom